*a*
Er2Th2Mg | PBE | optimized geometry

Lattice parameters (Å, degrees): 3.600 3.600 22.973 90.00 90.00 90.00
Sites, in units of the cell vectors:
Er  0.000  0.000  0.091
Er  0.000  0.000  0.909
Er  0.500  0.500  0.409
Er  0.500  0.500  0.591
Th  0.000  0.000  0.303
Th  0.000  0.000  0.697
Th  0.500  0.500  0.197
Th  0.500  0.500  0.803
Mg  0.000  0.000  0.500
Mg  0.500  0.500  0.000

Computed properties:
- Space group: I4/mmm

---

*b*
Er2Th2Mg | PBE | optimized geometry

Lattice parameters (Å, degrees): 4.566 4.566 16.281 90.00 90.00 90.00
Sites, in units of the cell vectors:
Er  0.000  0.000  0.096
Er  0.000  0.000  0.904
Er  0.500  0.500  0.404
Er  0.500  0.500  0.596
Th  0.000  0.500  0.250
Th  0.000  0.500  0.750
Th  0.500  0.000  0.250
Th  0.500  0.000  0.750
Mg  0.000  0.000  0.500
Mg  0.500  0.500  0.000

Computed properties:
- Space group: I4/mmm

---

Question: of the structures shown, which is the most stable? Reply: *a*.